# MnCdAs2 PBEsol relaxed
data_MnCdAs2
_chemical_formula_sum 'Mn1 Cd1 As2'
_cell_length_a 3.729
_cell_length_b 7.282
_cell_length_c 7.282
_cell_angle_alpha 23.02
_cell_angle_beta 90.00
_cell_angle_gamma 90.00
_space_group_name_H-M_alt 'P 1'
_space_group_IT_number 1
loop_
_space_group_symop_operation_xyz
'x,y,z'
loop_
_atom_site_label
_atom_site_type_symbol
_atom_site_fract_x
_atom_site_fract_y
_atom_site_fract_z
Mn1 Mn 0.000 0.000 0.000
Cd1 Cd 0.500 0.252 0.252
As1 As 0.000 0.641 0.641
As2 As 0.500 0.437 0.437
# raw total energy	-5.215	eV/atom
# space-group type	Amm2, No. 38
# E_form	0.08	eV per atom